i | Computed, not measured: a relaxed structure of SbPt2I2 at the PBE level of DFT.

Cell lengths 8.6962, 8.6962, 3.5620 Å; angles 90.00, 90.00, 90.00 degrees
Space group P4/mbm (No. 127)
Inequivalent atoms, fractional coordinates:
Sb 0.0000 0.0000 0.0000 x2
Pt 0.1028 0.3972 0.5000 x4
I 0.2360 0.7360 0.0000 x4

Computed properties:
DOS at the Fermi energy = 9.48 states/eV per cell
V = 134.69 Å³/f.u.
ρ = 9.44 g cm⁻³

---

ii | Computed, not measured: a relaxed structure of SbPt2I2 at the PBE level of DFT.

Cell lengths 3.8738, 3.8738, 16.7505 Å; angles 90.00, 90.00, 90.00 degrees
Space group I4/mmm (No. 139)
Inequivalent atoms, fractional coordinates:
Sb 0.0000 0.0000 0.0000 x2
Pt 0.0000 0.5000 0.2500 x4
I 0.0000 0.0000 0.3772 x4

Computed properties:
DOS at the Fermi energy = 6.05 states/eV per cell
V = 125.68 Å³/f.u.
ρ = 10.12 g cm⁻³

---

Most stable structure: ii

---

i | Computed, not measured: a relaxed structure of SbPtI at the PBE level of DFT.

Cell lengths 6.6375, 3.9555, 7.2936 Å; angles 90.00, 94.22, 90.00 degrees
Space group P2_1/m (No. 11)
Inequivalent atoms, fractional coordinates:
Sb 0.1960 0.2500 0.0867 x2
Pt 0.9997 0.2500 0.7580 x2
I 0.2403 0.7500 0.5922 x2

Computed properties:
V = 95.49 Å³/f.u.
ρ = 7.72 g cm⁻³

---

ii | Computed, not measured: a relaxed structure of SbPtI at the PBE level of DFT.

Cell lengths 6.9256, 3.9952, 12.6647 Å; angles 90.00, 90.48, 90.00 degrees
Space group C2/m (No. 12)
Inequivalent atoms, fractional coordinates:
Sb 0.1652 0.0000 0.4013 x4
Pt 0.0034 0.5000 0.7075 x4
I 0.1725 0.0000 0.8388 x4

Computed properties:
DOS at the Fermi energy = 2.76 states/eV per cell
V = 87.60 Å³/f.u.
ρ = 8.41 g cm⁻³

---

Most stable structure: i

---

i | Computed, not measured: a relaxed structure of SbPtI at the PBE level of DFT.

Cell lengths 4.0248, 4.0248, 6.0488 Å; angles 90.00, 90.00, 120.00 degrees
Space group P3m1 (No. 156)
Inequivalent atoms, fractional coordinates:
Sb 0.0000 0.0000 0.0000 x1
Pt 0.3333 0.6667 0.7740 x1
I 0.6667 0.3333 0.4981 x1

Computed properties:
DOS at the Fermi energy = 0.96 states/eV per cell
V = 84.86 Å³/f.u.
ρ = 8.68 g cm⁻³

---

ii | Computed, not measured: a relaxed structure of SbPtI at the PBE level of DFT.

Cell lengths 7.2426, 6.7136, 7.6345 Å; angles 90.00, 113.25, 90.00 degrees
Space group P2_1/c (No. 14)
Inequivalent atoms, fractional coordinates:
Sb 0.1499 0.1016 0.3956 x4
Pt 0.2120 0.0470 0.7630 x4
I 0.3599 0.6537 0.6162 x4

Computed properties:
DOS at the Fermi energy = 2.81 states/eV per cell
V = 85.27 Å³/f.u.
ρ = 8.64 g cm⁻³

---

Most stable structure: i

---

i | Computed, not measured: a relaxed structure of Sb2PtI at the PBE level of DFT.

Cell lengths 7.2949, 7.2949, 7.2949 Å; angles 90.00, 90.00, 90.00 degrees
Space group Fm-3m (No. 225)
Inequivalent atoms, fractional coordinates:
Sb 0.2500 0.2500 0.2500 x8
Pt 0.0000 0.0000 0.0000 x4
I 0.0000 0.0000 0.5000 x4

Computed properties:
DOS at the Fermi energy = 7.29 states/eV per cell
V = 97.05 Å³/f.u.
ρ = 9.68 g cm⁻³

---

ii | Computed, not measured: a relaxed structure of Sb2PtI at the PBE level of DFT.

Cell lengths 4.1650, 4.1650, 22.7856 Å; angles 90.00, 90.00, 120.00 degrees
Space group R-3m (No. 166, hexagonal axes)
Inequivalent atoms, fractional coordinates:
Sb 0.0000 0.0000 0.2221 x6
Pt 0.0000 0.0000 0.5000 x3
I 0.0000 0.0000 0.0000 x3

Computed properties:
DOS at the Fermi energy = 7.42 states/eV per cell
V = 114.10 Å³/f.u.
ρ = 8.23 g cm⁻³

---

Most stable structure: ii

---

i | Computed, not measured: a relaxed structure of SbPtSeI2 at the PBE level of DFT.

Cell lengths 5.4329, 5.4329, 5.2821 Å; angles 90.00, 90.00, 90.00 degrees
Space group P4/mmm (No. 123)
Inequivalent atoms, fractional coordinates:
Sb 0.0000 0.0000 0.0000 x1
Pt 0.0000 0.0000 0.5000 x1
Se 0.5000 0.5000 0.0000 x1
I 0.0000 0.5000 0.5000 x2

Computed properties:
DOS at the Fermi energy = 4.74 states/eV per cell
V = 155.91 Å³/f.u.
ρ = 6.92 g cm⁻³

---

ii | Computed, not measured: a relaxed structure of SbPtSeI2 at the PBE level of DFT.

Cell lengths 5.3676, 5.3676, 5.8671 Å; angles 90.00, 90.00, 90.00 degrees
Space group P4/mmm (No. 123)
Inequivalent atoms, fractional coordinates:
Sb 0.0000 0.0000 0.0000 x1
Pt 0.5000 0.5000 0.0000 x1
Se 0.0000 0.0000 0.5000 x1
I 0.0000 0.5000 0.5000 x2

Computed properties:
DOS at the Fermi energy = 5.70 states/eV per cell
V = 169.04 Å³/f.u.
ρ = 6.38 g cm⁻³

---

Most stable structure: i

---

i | Computed, not measured: a relaxed structure of SiSb2PtI at the PBE level of DFT.

Cell lengths 5.1998, 5.1998, 5.1113 Å; angles 90.00, 90.00, 90.00 degrees
Space group P4/mmm (No. 123)
Inequivalent atoms, fractional coordinates:
Si 0.0000 0.0000 0.0000 x1
Sb 0.0000 0.5000 0.0000 x2
Pt 0.5000 0.5000 0.5000 x1
I 0.0000 0.0000 0.5000 x1

Computed properties:
DOS at the Fermi energy = 3.41 states/eV per cell
V = 138.20 Å³/f.u.
ρ = 7.13 g cm⁻³

---

ii | Computed, not measured: a relaxed structure of SiSb2PtI at the PBE level of DFT.

Cell lengths 5.2335, 5.2335, 5.5089 Å; angles 90.00, 90.00, 90.00 degrees
Space group P4/mmm (No. 123)
Inequivalent atoms, fractional coordinates:
Si 0.0000 0.0000 0.0000 x1
Sb 0.0000 0.5000 0.5000 x2
Pt 0.5000 0.5000 0.5000 x1
I 0.5000 0.5000 0.0000 x1

Computed properties:
DOS at the Fermi energy = 6.12 states/eV per cell
V = 150.89 Å³/f.u.
ρ = 6.53 g cm⁻³

---

Most stable structure: ii

---

i | Computed, not measured: a relaxed structure of SrSb2PtI at the PBE level of DFT.

Cell lengths 6.1408, 6.1408, 5.9061 Å; angles 90.00, 90.00, 90.00 degrees
Space group P4/mmm (No. 123)
Inequivalent atoms, fractional coordinates:
Sr 0.0000 0.0000 0.0000 x1
Sb 0.0000 0.5000 0.0000 x2
Pt 0.5000 0.5000 0.5000 x1
I 0.0000 0.0000 0.5000 x1

Computed properties:
DOS at the Fermi energy = 11.16 states/eV per cell
V = 222.71 Å³/f.u.
ρ = 4.87 g cm⁻³

---

ii | Computed, not measured: a relaxed structure of SrSb2PtI at the PBE level of DFT.

Cell lengths 5.2990, 5.2990, 5.7873 Å; angles 90.00, 90.00, 90.00 degrees
Space group P4/mmm (No. 123)
Inequivalent atoms, fractional coordinates:
Sr 0.0000 0.0000 0.0000 x1
Sb 0.0000 0.5000 0.5000 x2
Pt 0.5000 0.5000 0.5000 x1
I 0.5000 0.5000 0.0000 x1

Computed properties:
DOS at the Fermi energy = 6.77 states/eV per cell
V = 162.50 Å³/f.u.
ρ = 6.67 g cm⁻³

---

Most stable structure: ii

---

i | Computed, not measured: a relaxed structure of TcSbPtI2 at the PBE level of DFT.

Cell lengths 5.3065, 5.3065, 5.1312 Å; angles 90.00, 90.00, 90.00 degrees
Space group P4/mmm (No. 123)
Inequivalent atoms, fractional coordinates:
Tc 0.0000 0.0000 0.0000 x1
Sb 0.0000 0.0000 0.5000 x1
Pt 0.5000 0.5000 0.5000 x1
I 0.0000 0.5000 0.0000 x2

Computed properties:
DOS at the Fermi energy = 6.43 states/eV per cell
V = 144.49 Å³/f.u.
ρ = 7.68 g cm⁻³

---

ii | Computed, not measured: a relaxed structure of TcSbPtI2 at the PBE level of DFT.

Cell lengths 5.5080, 5.5080, 5.2493 Å; angles 90.00, 90.00, 90.00 degrees
Space group P4/mmm (No. 123)
Inequivalent atoms, fractional coordinates:
Tc 0.0000 0.0000 0.0000 x1
Sb 0.5000 0.5000 0.0000 x1
Pt 0.5000 0.5000 0.5000 x1
I 0.0000 0.5000 0.5000 x2

Computed properties:
DOS at the Fermi energy = 3.69 states/eV per cell
V = 159.26 Å³/f.u.
ρ = 6.97 g cm⁻³

---

Most stable structure: ii

---

i | Computed, not measured: a relaxed structure of SbTe2PtI at the PBE level of DFT.

Cell lengths 5.3269, 5.3269, 5.4010 Å; angles 90.00, 90.00, 90.00 degrees
Space group P4/mmm (No. 123)
Inequivalent atoms, fractional coordinates:
Sb 0.0000 0.0000 0.0000 x1
Te 0.0000 0.5000 0.5000 x2
Pt 0.5000 0.5000 0.5000 x1
I 0.5000 0.5000 0.0000 x1

Computed properties:
DOS at the Fermi energy = 4.44 states/eV per cell
V = 153.26 Å³/f.u.
ρ = 7.57 g cm⁻³

---

ii | Computed, not measured: a relaxed structure of SbTe2PtI at the PBE level of DFT.

Cell lengths 5.4039, 5.4039, 5.3091 Å; angles 90.00, 90.00, 90.00 degrees
Space group P4/mmm (No. 123)
Inequivalent atoms, fractional coordinates:
Sb 0.0000 0.0000 0.0000 x1
Te 0.0000 0.5000 0.5000 x2
Pt 0.0000 0.0000 0.5000 x1
I 0.5000 0.5000 0.0000 x1

Computed properties:
DOS at the Fermi energy = 6.32 states/eV per cell
V = 155.03 Å³/f.u.
ρ = 7.49 g cm⁻³

---

Most stable structure: ii

---

i | Computed, not measured: a relaxed structure of VSb2PtI at the PBE level of DFT.

Cell lengths 5.2028, 5.2028, 5.4949 Å; angles 90.00, 90.00, 90.00 degrees
Space group P4/mmm (No. 123)
Inequivalent atoms, fractional coordinates:
V 0.0000 0.0000 0.0000 x1
Sb 0.0000 0.5000 0.5000 x2
Pt 0.5000 0.5000 0.5000 x1
I 0.5000 0.5000 0.0000 x1

Computed properties:
DOS at the Fermi energy = 10.02 states/eV per cell
V = 148.74 Å³/f.u.
ρ = 6.88 g cm⁻³

---

ii | Computed, not measured: a relaxed structure of VSb2PtI at the PBE level of DFT.

Cell lengths 5.1395, 5.1395, 4.9673 Å; angles 90.00, 90.00, 90.00 degrees
Space group P4/mmm (No. 123)
Inequivalent atoms, fractional coordinates:
V 0.0000 0.0000 0.0000 x1
Sb 0.0000 0.5000 0.0000 x2
Pt 0.5000 0.5000 0.5000 x1
I 0.0000 0.0000 0.5000 x1

Computed properties:
DOS at the Fermi energy = 4.28 states/eV per cell
V = 131.21 Å³/f.u.
ρ = 7.80 g cm⁻³

---

Most stable structure: ii

---

i | Computed, not measured: a relaxed structure of ZnSbPtI2 at the PBE level of DFT.

Cell lengths 5.3599, 5.3599, 5.2752 Å; angles 90.00, 90.00, 90.00 degrees
Space group P4/mmm (No. 123)
Inequivalent atoms, fractional coordinates:
Zn 0.0000 0.0000 0.0000 x1
Sb 0.0000 0.0000 0.5000 x1
Pt 0.5000 0.5000 0.5000 x1
I 0.0000 0.5000 0.0000 x2

Computed properties:
DOS at the Fermi energy = 6.31 states/eV per cell
V = 151.55 Å³/f.u.
ρ = 6.97 g cm⁻³

---

ii | Computed, not measured: a relaxed structure of ZnSbPtI2 at the PBE level of DFT.

Cell lengths 5.7160, 5.7160, 5.1039 Å; angles 90.00, 90.00, 90.00 degrees
Space group P4/mmm (No. 123)
Inequivalent atoms, fractional coordinates:
Zn 0.0000 0.0000 0.0000 x1
Sb 0.5000 0.5000 0.0000 x1
Pt 0.5000 0.5000 0.5000 x1
I 0.0000 0.5000 0.5000 x2

Computed properties:
DOS at the Fermi energy = 2.28 states/eV per cell
V = 166.76 Å³/f.u.
ρ = 6.33 g cm⁻³

---

Most stable structure: ii

---

i | Computed, not measured: a relaxed structure of ZnSb2PtI at the PBE level of DFT.

Cell lengths 5.2634, 5.2634, 5.6961 Å; angles 90.00, 90.00, 90.00 degrees
Space group P4/mmm (No. 123)
Inequivalent atoms, fractional coordinates:
Zn 0.0000 0.0000 0.0000 x1
Sb 0.0000 0.5000 0.5000 x2
Pt 0.5000 0.5000 0.5000 x1
I 0.5000 0.5000 0.0000 x1

Computed properties:
DOS at the Fermi energy = 4.87 states/eV per cell
V = 157.80 Å³/f.u.
ρ = 6.64 g cm⁻³

---

ii | Computed, not measured: a relaxed structure of ZnSb2PtI at the PBE level of DFT.

Cell lengths 5.1456, 5.1456, 5.2824 Å; angles 90.00, 90.00, 90.00 degrees
Space group P4/mmm (No. 123)
Inequivalent atoms, fractional coordinates:
Zn 0.0000 0.0000 0.0000 x1
Sb 0.0000 0.5000 0.0000 x2
Pt 0.5000 0.5000 0.5000 x1
I 0.0000 0.0000 0.5000 x1

Computed properties:
DOS at the Fermi energy = 3.71 states/eV per cell
V = 139.86 Å³/f.u.
ρ = 7.49 g cm⁻³

---

Most stable structure: i